1.
# NaHoPO PBE optimized geometry
# Electronic total energy in eV for the cell shown: -44.86
# Excess energy over the best structure of this formula in the dataset in meV per atom: 97
# Total magnetic moment in μB per formula unit: 0.00
data_NaHoPO
_chemical_formula_sum 'Na2 Ho2 P2 O2'
_cell_length_a 3.573
_cell_length_b 7.896
_cell_length_c 5.875
_cell_angle_alpha 90.00
_cell_angle_beta 90.00
_cell_angle_gamma 90.00
_space_group_name_H-M_alt 'P 1'
_space_group_IT_number 1
loop_
_space_group_symop_operation_xyz
'x,y,z'
loop_
_atom_site_label
_atom_site_fract_x
_atom_site_fract_y
_atom_site_fract_z
O1 0.500 0.181 0.892
O2 0.500 0.819 0.392
Na1 0.500 0.077 0.532
Na2 0.500 0.923 0.032
Ho1 0.000 0.680 0.421
Ho2 0.000 0.320 0.921
P1 0.000 0.666 0.908
P2 0.000 0.334 0.408



2.
# CsPrAu PBE optimized geometry
# Electronic total energy in eV for the cell shown: -7.94
# Total magnetic moment in μB per formula unit: 0.01
data_CsPrAu
_chemical_formula_sum 'Cs1 Pr1 Au1'
_cell_length_a 5.250
_cell_length_b 5.250
_cell_length_c 5.250
_cell_angle_alpha 60.00
_cell_angle_beta 60.00
_cell_angle_gamma 60.00
_space_group_name_H-M_alt 'P 1'
_space_group_IT_number 1
loop_
_space_group_symop_operation_xyz
'x,y,z'
loop_
_atom_site_label
_atom_site_fract_x
_atom_site_fract_y
_atom_site_fract_z
Cs1 0.750 0.750 0.750
Au1 0.250 0.250 0.250
Pr1 0.000 0.000 0.000



3.
# YAgGeTe3 PBE optimized geometry
# Electronic total energy in eV for the cell shown: -53.16
# Total magnetic moment in μB per formula unit: 0.00
data_YAgGeTe3
_chemical_formula_sum 'Y2 Ag2 Ge2 Te6'
_cell_length_a 7.536
_cell_length_b 7.536
_cell_length_c 11.138
_cell_angle_alpha 90.00
_cell_angle_beta 90.00
_cell_angle_gamma 32.39
_space_group_name_H-M_alt 'P 1'
_space_group_IT_number 1
loop_
_space_group_symop_operation_xyz
'x,y,z'
loop_
_atom_site_label
_atom_site_fract_x
_atom_site_fract_y
_atom_site_fract_z
Ge1 0.221 0.221 0.750
Ge2 0.779 0.779 0.250
Te1 0.651 0.651 0.936
Te2 0.349 0.349 0.064
Te3 0.651 0.651 0.564
Te4 0.892 0.892 0.750
Te5 0.108 0.108 0.250
Te6 0.349 0.349 0.436
Ag1 0.478 0.478 0.250
Ag2 0.522 0.522 0.750
Y1 0.000 0.000 0.000
Y2 0.000 0.000 0.500



4.
# KBeIrW PBE optimized geometry
# Electronic total energy in eV for the cell shown: -22.43
# Excess energy over the best structure of this formula in the dataset in meV per atom: 0
# Total magnetic moment in μB per formula unit: 0.00
data_KBeIrW
_chemical_formula_sum 'K1 Be1 Ir1 W1'
_cell_length_a 4.469
_cell_length_b 4.469
_cell_length_c 4.469
_cell_angle_alpha 60.00
_cell_angle_beta 60.00
_cell_angle_gamma 60.00
_space_group_name_H-M_alt 'P 1'
_space_group_IT_number 1
loop_
_space_group_symop_operation_xyz
'x,y,z'
loop_
_atom_site_label
_atom_site_fract_x
_atom_site_fract_y
_atom_site_fract_z
K1 0.500 0.500 0.500
W1 0.250 0.250 0.250
Be1 0.750 0.750 0.750
Ir1 0.000 0.000 0.000



5.
# SrErNO PBE optimized geometry
# Electronic total energy in eV for the cell shown: -55.55
# Excess energy over the best structure of this formula in the dataset in meV per atom: 79
# Total magnetic moment in μB per formula unit: 0.00
data_SrErNO
_chemical_formula_sum 'Sr2 Er2 N2 O2'
_cell_length_a 3.822
_cell_length_b 5.850
_cell_length_c 6.928
_cell_angle_alpha 90.00
_cell_angle_beta 90.00
_cell_angle_gamma 90.00
_space_group_name_H-M_alt 'P 1'
_space_group_IT_number 1
loop_
_space_group_symop_operation_xyz
'x,y,z'
loop_
_atom_site_label
_atom_site_fract_x
_atom_site_fract_y
_atom_site_fract_z
O1 0.500 0.866 0.864
O2 0.500 0.366 0.136
Sr1 0.000 0.980 0.665
Sr2 0.000 0.480 0.335
Er1 0.500 0.494 0.841
Er2 0.500 0.994 0.159
N1 0.000 0.414 0.694
N2 0.000 0.914 0.306



6.
# LuTlCuMo PBE optimized geometry
# Electronic total energy in eV for the cell shown: -19.48
# Excess energy over the best structure of this formula in the dataset in meV per atom: 0
# Total magnetic moment in μB per formula unit: 1.30
data_LuTlCuMo
_chemical_formula_sum 'Lu1 Tl1 Cu1 Mo1'
_cell_length_a 4.778
_cell_length_b 4.778
_cell_length_c 4.778
_cell_angle_alpha 60.00
_cell_angle_beta 60.00
_cell_angle_gamma 60.00
_space_group_name_H-M_alt 'P 1'
_space_group_IT_number 1
loop_
_space_group_symop_operation_xyz
'x,y,z'
loop_
_atom_site_label
_atom_site_fract_x
_atom_site_fract_y
_atom_site_fract_z
Cu1 0.750 0.750 0.750
Mo1 0.250 0.250 0.250
Lu1 0.500 0.500 0.500
Tl1 0.000 0.000 0.000